This record from Alexandria describes crystalline Er8Tm5Pb at its relaxed geometry. The functional is GGA-PBE.

Cell lengths 8.321, 8.321, 8.321 Å; angles 110.69, 107.07, 110.69 degrees
Positions (direct):
Er1 0.565 0.904 0.832
Tm1 0.024 0.312 0.130
Er2 0.529 0.610 0.275
Tm2 0.500 0.000 0.500
Er3 0.338 0.266 0.435
Er4 0.665 0.390 0.918
Er5 0.928 0.096 0.662
Tm3 0.870 0.894 0.182
Er6 0.725 0.253 0.335
Pb1 0.250 0.500 0.750
Tm4 0.818 0.688 0.712
Er7 0.082 0.747 0.471
Tm5 0.288 0.106 0.976
Er8 0.168 0.734 0.072

Computed properties:
The formation enthalpy at 0 K comes out at 2.49 eV/f.u. The calculation puts the total energy at -4.2910 eV per atom. The value obtained for the calculated volume is 443 Å³/f.u.